An optimized crystal structure of SrMgTe, computed with PBE.

Summary:
E_form (uncorrected): -0.80 eV/atom
Symmetry: R-3m
Energy: -2.9413 eV/atom

abc: 9.761 9.761 9.761
angles: 32.66 32.66 32.66
Atoms (fractional coordinates):
Sr 0.095 0.095 0.095
Sr 0.905 0.905 0.905
Mg 0.322 0.322 0.322
Mg 0.678 0.678 0.678
Te 0.218 0.218 0.218
Te 0.782 0.782 0.782

An optimized crystal structure of K3HN, computed with PBE.

Summary:
Symmetry: Pm-3m
Energy: -2.5813 eV/atom

abc: 5.365 5.365 5.365
angles: 90.00 90.00 90.00
Atoms (fractional coordinates):
K 0.000 0.000 0.500
K 0.000 0.500 0.000
K 0.500 0.000 0.000
H 0.500 0.500 0.500
N 0.000 0.000 0.000

An optimized crystal structure of Al5CuSi2, computed with PBE.

Summary:
E_form (uncorrected): 0.14 eV/atom
Symmetry: Immm
Energy: -4.0702 eV/atom

abc: 7.243 7.243 7.243
angles: 150.38 134.48 55.25
Atoms (fractional coordinates):
Al 0.000 0.000 0.000
Al 0.144 0.382 0.762
Al 0.380 0.618 0.762
Al 0.620 0.382 0.238
Al 0.856 0.618 0.238
Cu 0.500 0.000 0.500
Si 0.205 0.205 0.000
Si 0.795 0.795 0.000

An optimized crystal structure of Pm3Tl2C, computed with PBE.

Summary:
Formation energy from the elements: -30.7 kJ/mol of atoms
Symmetry: Cmmm
Energy: -5.0191 eV/atom

abc: 8.622 8.622 3.718
angles: 90.00 90.00 145.37
Atoms (fractional coordinates):
Pm 0.000 0.000 0.000
Pm 0.392 0.608 0.500
Pm 0.608 0.392 0.500
Tl 0.195 0.805 0.000
Tl 0.805 0.195 0.000
C 0.500 0.500 0.000

An optimized crystal structure of Pr8BiTe4P3, computed with PBE.

Summary:
E_form (uncorrected): -1.46 eV/atom
Symmetry: R-3m
Energy: -5.8896 eV/atom

abc: 8.961 8.961 8.961
angles: 58.58 58.58 58.58
Atoms (fractional coordinates):
Pr 0.223 0.750 0.750
Pr 0.238 0.238 0.238
Pr 0.250 0.250 0.777
Pr 0.250 0.777 0.250
Pr 0.750 0.223 0.750
Pr 0.750 0.750 0.223
Pr 0.762 0.762 0.762
Pr 0.777 0.250 0.250
Bi 0.500 0.500 0.500
Te 0.000 0.000 0.000
Te 0.000 0.500 0.500
Te 0.500 0.000 0.500
Te 0.500 0.500 0.000
P 0.000 0.000 0.500
P 0.000 0.500 0.000
P 0.500 0.000 0.000

An optimized crystal structure of ZnFeBr2, computed with PBE.

Summary:
E_form (uncorrected): -0.10 eV/atom
Symmetry: Pm
Energy: -3.3685 eV/atom

abc: 3.734 3.448 7.751
angles: 90.00 103.54 90.00
Atoms (fractional coordinates):
Zn 0.000 0.000 0.000
Fe 0.538 0.500 0.078
Br 0.386 0.500 0.765
Br 0.653 0.000 0.316